# HfScCo2O6

Crystalline HfScCo2O6 at its relaxed geometry (PBE+U, Alexandria).

Computed properties:
The value obtained for the total energy is -79.6 eV/cell.

```
HfScCo2O6
1.0
2.591 1.496 4.717
-2.591 1.496 4.717
0.000 -2.992 4.717
Hf Sc Co O
1 1 2 6
direct
0.000 0.000 0.000
0.492 0.492 0.492
0.208 0.208 0.208
0.693 0.693 0.693
0.071 0.801 0.423
0.313 0.602 0.899
0.423 0.071 0.801
0.602 0.899 0.313
0.801 0.423 0.071
0.899 0.313 0.602
```